Entry 1:
# PBE-GGA TaTl3Pb2S6, relaxed
# SG: C2/m, No. 12
# ΔE_f (raw), eV per atom: -0.6172
# Crystal system: monoclinic
data_TaTl3Pb2S6
_symmetry_space_group_name_H-M 'P 1'
_symmetry_Int_Tables_number 1
_cell_length_a 7.1087
_cell_length_b 7.1087
_cell_length_c 7.5819
_cell_angle_alpha 98.84
_cell_angle_beta 98.84
_cell_angle_gamma 119.42
loop_
_symmetry_equiv_pos_as_xyz
'x,y,z'
loop_
_atom_site_label
_atom_site_type_symbol
_atom_site_fract_x
_atom_site_fract_y
_atom_site_fract_z
Ta1 Ta 0.0000 0.0000 0.0000
Tl1 Tl 0.1688 0.8312 0.5000
Tl2 Tl 0.8312 0.1688 0.5000
Tl3 Tl 0.5000 0.5000 0.5000
Pb1 Pb 0.3331 0.6669 0.0000
Pb2 Pb 0.6669 0.3331 0.0000
S1 S 0.9343 0.6488 0.8031
S2 S 0.7848 0.7848 0.2073
S3 S 0.0657 0.3512 0.1969
S4 S 0.6488 0.9343 0.8031
S5 S 0.2152 0.2152 0.7927
S6 S 0.3512 0.0657 0.1969

Entry 2:
# PBE-GGA TaV2PbS, relaxed
# SG: P4/mmm, No. 123
# ΔE_f (raw), eV per atom: 0.6693
# Crystal system: tetragonal
data_TaV2PbS
_symmetry_space_group_name_H-M 'P 1'
_symmetry_Int_Tables_number 1
_cell_length_a 4.2654
_cell_length_b 5.3593
_cell_length_c 4.2654
_cell_angle_alpha 90.00
_cell_angle_beta 90.00
_cell_angle_gamma 90.00
loop_
_symmetry_equiv_pos_as_xyz
'x,y,z'
loop_
_atom_site_label
_atom_site_type_symbol
_atom_site_fract_x
_atom_site_fract_y
_atom_site_fract_z
Pb1 Pb 0.0000 0.5000 0.0000
S1 S 0.0000 0.0000 0.0000
V1 V 0.0000 0.0000 0.5000
V2 V 0.5000 0.0000 0.0000
Ta1 Ta 0.5000 0.5000 0.5000

Entry 3:
# PBE-GGA Tb2PbS, relaxed
# SG: R3m, No. 160
# ΔE_f (raw), eV per atom: -1.2312
# Crystal system: trigonal
# Energy above the most stable polymorph in this dataset, meV per atom: 0.0
data_Tb2PbS
_symmetry_space_group_name_H-M 'P 1'
_symmetry_Int_Tables_number 1
_cell_length_a 3.8146
_cell_length_b 3.8146
_cell_length_c 8.4759
_cell_angle_alpha 77.00
_cell_angle_beta 77.00
_cell_angle_gamma 60.00
loop_
_symmetry_equiv_pos_as_xyz
'x,y,z'
loop_
_atom_site_label
_atom_site_type_symbol
_atom_site_fract_x
_atom_site_fract_y
_atom_site_fract_z
Tb1 Tb 0.0652 0.0652 0.8045
Tb2 Tb 0.2682 0.2682 0.1953
Pb1 Pb 0.4993 0.4993 0.5020
S1 S 0.6673 0.6673 0.9981

Entry 4:
# PBE-GGA Tb3Pb5S12, relaxed
# SG: Ia-3d, No. 230
# ΔE_f (raw), eV per atom: -0.7932
# Crystal system: cubic
data_Tb3Pb5S12
_symmetry_space_group_name_H-M 'P 1'
_symmetry_Int_Tables_number 1
_cell_length_a 14.1009
_cell_length_b 14.1009
_cell_length_c 14.1009
_cell_angle_alpha 109.47
_cell_angle_beta 109.47
_cell_angle_gamma 109.47
loop_
_symmetry_equiv_pos_as_xyz
'x,y,z'
loop_
_atom_site_label
_atom_site_type_symbol
_atom_site_fract_x
_atom_site_fract_y
_atom_site_fract_z
Tb1 Tb 0.7500 0.3750 0.1250
Tb2 Tb 0.8750 0.7500 0.1250
Tb3 Tb 0.3750 0.7500 0.6250
Tb4 Tb 0.2500 0.1250 0.3750
Tb5 Tb 0.8750 0.1250 0.2500
Tb6 Tb 0.3750 0.6250 0.2500
Tb7 Tb 0.6250 0.3750 0.7500
Tb8 Tb 0.1250 0.8750 0.7500
Tb9 Tb 0.7500 0.8750 0.6250
Tb10 Tb 0.6250 0.2500 0.3750
Tb11 Tb 0.1250 0.2500 0.8750
Tb12 Tb 0.2500 0.6250 0.8750
Pb1 Pb 0.1250 0.3750 0.2500
Pb2 Pb 0.0000 0.5000 0.0000
Pb3 Pb 0.0000 0.0000 0.0000
Pb4 Pb 0.3750 0.2500 0.1250
Pb5 Pb 0.5000 0.0000 0.5000
Pb6 Pb 0.5000 0.5000 0.0000
Pb7 Pb 0.1250 0.7500 0.3750
Pb8 Pb 0.7500 0.1250 0.8750
Pb9 Pb 0.7500 0.6250 0.3750
Pb10 Pb 0.3750 0.1250 0.7500
Pb11 Pb 0.6250 0.8750 0.2500
Pb12 Pb 0.5000 0.5000 0.5000
Pb13 Pb 0.5000 0.0000 0.0000
Pb14 Pb 0.0000 0.0000 0.5000
Pb15 Pb 0.2500 0.3750 0.6250
Pb16 Pb 0.2500 0.8750 0.1250
Pb17 Pb 0.0000 0.5000 0.5000
Pb18 Pb 0.8750 0.2500 0.6250
Pb19 Pb 0.6250 0.7500 0.8750
Pb20 Pb 0.8750 0.6250 0.7500
S1 S 0.7294 0.1436 0.0576
S2 S 0.3282 0.5576 0.4141
S3 S 0.9424 0.3564 0.2706
S4 S 0.5576 0.2294 0.1436
S5 S 0.5858 0.7294 0.6718
S6 S 0.9424 0.5859 0.1718
S7 S 0.3282 0.7706 0.4142
S8 S 0.0859 0.9142 0.1436
S9 S 0.5859 0.9424 0.6718
S10 S 0.7294 0.5858 0.1718
S11 S 0.7706 0.4424 0.3564
S12 S 0.8282 0.9141 0.0576
S13 S 0.1436 0.7294 0.5576
S14 S 0.3564 0.4141 0.0858
S15 S 0.0858 0.9141 0.3564
S16 S 0.4142 0.1436 0.5859
S17 S 0.0858 0.1718 0.2294
S18 S 0.4424 0.6718 0.0859
S19 S 0.8282 0.9142 0.2706
S20 S 0.1436 0.4142 0.0859
S21 S 0.3564 0.9424 0.7706
S22 S 0.5859 0.6436 0.4142
S23 S 0.9141 0.8282 0.5576
S24 S 0.7706 0.3282 0.9142
S25 S 0.4141 0.3564 0.5858
S26 S 0.0859 0.1718 0.4424
S27 S 0.2294 0.6718 0.0858
S28 S 0.1718 0.0858 0.7294
S29 S 0.6436 0.0576 0.2294
S30 S 0.8564 0.5858 0.9141
S31 S 0.5576 0.3282 0.9141
S32 S 0.5858 0.8564 0.4141
S33 S 0.9142 0.8282 0.7706
S34 S 0.9142 0.0859 0.6436
S35 S 0.8564 0.2706 0.4424
S36 S 0.1718 0.0859 0.9424
S37 S 0.6436 0.5859 0.9142
S38 S 0.4141 0.0576 0.3282
S39 S 0.2706 0.4142 0.8282
S40 S 0.2294 0.5576 0.6436
S41 S 0.9141 0.0858 0.8564
S42 S 0.6718 0.2294 0.5858
S43 S 0.4424 0.7706 0.8564
S44 S 0.0576 0.4141 0.8282
S45 S 0.4142 0.2706 0.3282
S46 S 0.0576 0.6436 0.7294
S47 S 0.6718 0.4424 0.5859
S48 S 0.2706 0.8564 0.9424

Entry 5:
# PBE-GGA TbPbS2, relaxed
# SG: R3m, No. 160
# ΔE_f (raw), eV per atom: -1.2999
# Crystal system: trigonal
# Energy above the most stable polymorph in this dataset, meV per atom: 0.0
data_TbPbS2
_symmetry_space_group_name_H-M 'P 1'
_symmetry_Int_Tables_number 1
_cell_length_a 3.8855
_cell_length_b 3.8855
_cell_length_c 8.2364
_cell_angle_alpha 76.36
_cell_angle_beta 76.36
_cell_angle_gamma 60.00
loop_
_symmetry_equiv_pos_as_xyz
'x,y,z'
loop_
_atom_site_label
_atom_site_type_symbol
_atom_site_fract_x
_atom_site_fract_y
_atom_site_fract_z
Tb1 Tb 0.6668 0.6668 0.9995
Pb1 Pb 0.5001 0.5001 0.4996
S1 S 0.0661 0.0661 0.8016
S2 S 0.2669 0.2669 0.1992

Entry 6:
# PBE-GGA Tb5Pb3S12, relaxed
# SG: Ia-3d, No. 230
# ΔE_f (raw), eV per atom: -1.1298
# Crystal system: cubic
data_Tb5Pb3S12
_symmetry_space_group_name_H-M 'P 1'
_symmetry_Int_Tables_number 1
_cell_length_a 14.3377
_cell_length_b 14.3377
_cell_length_c 14.3377
_cell_angle_alpha 109.47
_cell_angle_beta 109.47
_cell_angle_gamma 109.47
loop_
_symmetry_equiv_pos_as_xyz
'x,y,z'
loop_
_atom_site_label
_atom_site_type_symbol
_atom_site_fract_x
_atom_site_fract_y
_atom_site_fract_z
Pb1 Pb 0.7500 0.3750 0.1250
Pb2 Pb 0.8750 0.7500 0.1250
Pb3 Pb 0.3750 0.7500 0.6250
Pb4 Pb 0.2500 0.1250 0.3750
Pb5 Pb 0.8750 0.1250 0.2500
Pb6 Pb 0.3750 0.6250 0.2500
Pb7 Pb 0.6250 0.3750 0.7500
Pb8 Pb 0.1250 0.8750 0.7500
Pb9 Pb 0.7500 0.8750 0.6250
Pb10 Pb 0.6250 0.2500 0.3750
Pb11 Pb 0.1250 0.2500 0.8750
Pb12 Pb 0.2500 0.6250 0.8750
Tb1 Tb 0.1250 0.3750 0.2500
Tb2 Tb 0.0000 0.5000 0.0000
Tb3 Tb 0.0000 0.0000 0.0000
Tb4 Tb 0.3750 0.2500 0.1250
Tb5 Tb 0.5000 0.0000 0.5000
Tb6 Tb 0.5000 0.5000 0.0000
Tb7 Tb 0.1250 0.7500 0.3750
Tb8 Tb 0.7500 0.1250 0.8750
Tb9 Tb 0.7500 0.6250 0.3750
Tb10 Tb 0.3750 0.1250 0.7500
Tb11 Tb 0.6250 0.8750 0.2500
Tb12 Tb 0.5000 0.5000 0.5000
Tb13 Tb 0.5000 0.0000 0.0000
Tb14 Tb 0.0000 0.0000 0.5000
Tb15 Tb 0.2500 0.3750 0.6250
Tb16 Tb 0.2500 0.8750 0.1250
Tb17 Tb 0.0000 0.5000 0.5000
Tb18 Tb 0.8750 0.2500 0.6250
Tb19 Tb 0.6250 0.7500 0.8750
Tb20 Tb 0.8750 0.6250 0.7500
S1 S 0.7175 0.1202 0.0408
S2 S 0.3233 0.5408 0.4206
S3 S 0.9592 0.3798 0.2825
S4 S 0.5408 0.2175 0.1202
S5 S 0.5973 0.7175 0.6767
S6 S 0.9592 0.5794 0.1767
S7 S 0.3233 0.7825 0.4027
S8 S 0.0794 0.9027 0.1202
S9 S 0.5794 0.9592 0.6767
S10 S 0.7175 0.5973 0.1767
S11 S 0.7825 0.4592 0.3798
S12 S 0.8233 0.9206 0.0408
S13 S 0.1202 0.7175 0.5408
S14 S 0.3798 0.4206 0.0973
S15 S 0.0973 0.9206 0.3798
S16 S 0.4027 0.1202 0.5794
S17 S 0.0973 0.1767 0.2175
S18 S 0.4592 0.6767 0.0794
S19 S 0.8233 0.9027 0.2825
S20 S 0.1202 0.4027 0.0794
S21 S 0.3798 0.9592 0.7825
S22 S 0.5794 0.6202 0.4027
S23 S 0.9206 0.8233 0.5408
S24 S 0.7825 0.3233 0.9027
S25 S 0.4206 0.3798 0.5973
S26 S 0.0794 0.1767 0.4592
S27 S 0.2175 0.6767 0.0973
S28 S 0.1767 0.0973 0.7175
S29 S 0.6202 0.0408 0.2175
S30 S 0.8798 0.5973 0.9206
S31 S 0.5408 0.3233 0.9206
S32 S 0.5973 0.8798 0.4206
S33 S 0.9027 0.8233 0.7825
S34 S 0.9027 0.0794 0.6202
S35 S 0.8798 0.2825 0.4592
S36 S 0.1767 0.0794 0.9592
S37 S 0.6202 0.5794 0.9027
S38 S 0.4206 0.0408 0.3233
S39 S 0.2825 0.4027 0.8233
S40 S 0.2175 0.5408 0.6202
S41 S 0.9206 0.0973 0.8798
S42 S 0.6767 0.2175 0.5973
S43 S 0.4592 0.7825 0.8798
S44 S 0.0408 0.4206 0.8233
S45 S 0.4027 0.2825 0.3233
S46 S 0.0408 0.6202 0.7175
S47 S 0.6767 0.4592 0.5794
S48 S 0.2825 0.8798 0.9592

Entry 7:
# PBE-GGA Tb7PbS5, relaxed
# SG: Cmcm, No. 63
# ΔE_f (raw), eV per atom: -1.6514
# Crystal system: orthorhombic
data_Tb7PbS5
_symmetry_space_group_name_H-M 'P 1'
_symmetry_Int_Tables_number 1
_cell_length_a 3.9776
_cell_length_b 6.8179
_cell_length_c 23.6603
_cell_angle_alpha 90.00
_cell_angle_beta 90.00
_cell_angle_gamma 107.00
loop_
_symmetry_equiv_pos_as_xyz
'x,y,z'
loop_
_atom_site_label
_atom_site_type_symbol
_atom_site_fract_x
_atom_site_fract_y
_atom_site_fract_z
Tb1 Tb 0.4861 0.9724 0.2500
Tb2 Tb 0.5144 0.0287 0.7500
Tb3 Tb 0.6367 0.2735 0.0362
Tb4 Tb 0.3638 0.7275 0.9639
Tb5 Tb 0.3638 0.7276 0.5362
Tb6 Tb 0.6368 0.2737 0.4638
Tb7 Tb 0.1749 0.3501 0.1710
Tb8 Tb 0.8256 0.6510 0.8290
Tb9 Tb 0.8255 0.6507 0.6711
Tb10 Tb 0.1751 0.3505 0.3289
Tb11 Tb 0.9076 0.8151 0.1100
Tb12 Tb 0.0929 0.1860 0.8901
Tb13 Tb 0.0928 0.1858 0.6100
Tb14 Tb 0.9078 0.8154 0.3900
Pb1 Pb 0.8021 0.6040 0.2499
Pb2 Pb 0.1985 0.3971 0.7501
S1 S 0.0003 0.0006 0.0000
S2 S 0.7268 0.4534 0.9305
S3 S 0.2737 0.5476 0.0695
S4 S 0.5438 0.0875 0.3607
S5 S 0.4568 0.9137 0.6393
S6 S 0.0003 0.0006 0.5000
S7 S 0.2739 0.5479 0.4305
S8 S 0.7267 0.4533 0.5695
S9 S 0.4569 0.9140 0.8608
S10 S 0.5436 0.0871 0.1392

Entry 8:
# PBE-GGA TbPbS, relaxed
# SG: I4_1md, No. 109
# ΔE_f (raw), eV per atom: -0.9074
# Crystal system: tetragonal
data_TbPbS
_symmetry_space_group_name_H-M 'P 1'
_symmetry_Int_Tables_number 1
_cell_length_a 5.2581
_cell_length_b 5.2581
_cell_length_c 7.1687
_cell_angle_alpha 111.51
_cell_angle_beta 111.51
_cell_angle_gamma 90.00
loop_
_symmetry_equiv_pos_as_xyz
'x,y,z'
loop_
_atom_site_label
_atom_site_type_symbol
_atom_site_fract_x
_atom_site_fract_y
_atom_site_fract_z
Tb1 Tb 0.8161 0.8161 0.6323
Tb2 Tb 0.0661 0.5661 0.1323
S1 S 0.2860 0.7860 0.5719
S2 S 0.0360 0.0360 0.0719
Pb1 Pb 0.3979 0.3979 0.7958
Pb2 Pb 0.6479 0.1479 0.2958

The evaluated DFT total energy for the records listed, in turn: -58.5; -34.6; -22.0; -97.8; -21.8; -106.4; -78.2; -15.2 eV per formula unit.